Compound: LiLa2InH
Source: Alexandria
Functional: PBE-GGA
Structure: relaxed

Cell lengths 5.1908, 5.1908, 4.3525 Å; angles 90.00, 90.00, 90.00 degrees
Fractional positions:
1 Li 0.0000 0.0000 0.5000
2 La 0.0000 0.5000 0.0000
3 La 0.5000 0.0000 0.0000
4 H 0.0000 0.0000 0.0000
5 In 0.5000 0.5000 0.5000

**Energy**: -3.98 eV per atom
**ΔE to the lowest computed polymorph**: 0 meV/atom